Compound: Pr12Cu6Rh
Source: Alexandria via LeMat-Bulk
Functional: PBE
Structure: relaxed

It has space group R-3 (No. 148, hexagonal axes), with a = 12.7179 Å, b = 12.7179 Å, c = 12.4644 Å, α = 90.00°, β = 90.00° and γ = 120.00°. The asymmetric unit holds Pr at (0.0252, 0.8252, 0.3902), Pr at (0.0351, 0.8366, 0.8763), Cu at (0.0444, 0.7731, 0.6468) and Rh at (0.0000, 0.0000, 0.0000).

The value obtained for the total energy is -0.3449 Ry/atom. The formation energy comes out at 0.01 eV per atom.